No. 1
## BaScOs2Cl (PBE-GGA)

Data for crystalline BaScOs2Cl at its relaxed geometry.

Calculated values
Magnetic moment, μB per formula unit: 1.8
E_form (uncorrected), eV per atom: 1.03

a b c (Å): 4.681 4.681 7.119
angles (deg): 90.00 90.00 90.00
Space group P4/mmm (No. 123)
Unique sites:
Ba: 0.000 0.000 0.000 (multiplicity 1)
Sc: 0.000 0.000 0.500 (multiplicity 1)
Os: 0.000 0.500 0.500 (multiplicity 2)
Cl: 0.500 0.500 0.000 (multiplicity 1)

***

No. 2
## BaTaOs2Cl (PBE-GGA)

Data for crystalline BaTaOs2Cl at its relaxed geometry.

Calculated values
Magnetic moment, μB per formula unit: 1.7
E_form (uncorrected), eV per atom: 3.54

a b c (Å): 5.121 5.121 5.448
angles (deg): 90.00 90.00 90.00
Space group P4/mmm (No. 123)
Unique sites:
Ba: 0.000 0.000 0.000 (multiplicity 1)
Ta: 0.000 0.000 0.500 (multiplicity 1)
Os: 0.000 0.500 0.000 (multiplicity 2)
Cl: 0.500 0.500 0.500 (multiplicity 1)

***

No. 3
## BaTlOsCl2 (PBE-GGA)

Data for crystalline BaTlOsCl2 at its relaxed geometry.

Calculated values
Magnetic moment, μB per formula unit: 2.3
E_form (uncorrected), eV per atom: 0.09

a b c (Å): 5.673 5.673 5.327
angles (deg): 90.00 90.00 90.00
Space group P4/mmm (No. 123)
Unique sites:
Ba: 0.000 0.000 0.000 (multiplicity 1)
Tl: 0.500 0.500 0.500 (multiplicity 1)
Os: 0.500 0.500 0.000 (multiplicity 1)
Cl: 0.000 0.500 0.500 (multiplicity 2)

***

No. 4
## BaZn2OsCl (PBE-GGA)

Data for crystalline BaZn2OsCl at its relaxed geometry.

Calculated values
Magnetic moment, μB per formula unit: 0.0
E_form (uncorrected), eV per atom: -0.08

a b c (Å): 4.848 4.848 5.249
angles (deg): 90.00 90.00 90.00
Space group P4/mmm (No. 123)
Unique sites:
Ba: 0.000 0.000 0.000 (multiplicity 1)
Zn: 0.000 0.500 0.500 (multiplicity 2)
Os: 0.500 0.500 0.500 (multiplicity 1)
Cl: 0.500 0.500 0.000 (multiplicity 1)

***

No. 5
## BaZnOs2Cl (PBE-GGA)

Data for crystalline BaZnOs2Cl at its relaxed geometry.

Calculated values
Magnetic moment, μB per formula unit: 7.0
E_form (uncorrected), eV per atom: 2.55

a b c (Å): 5.961 5.961 6.416
angles (deg): 90.00 90.00 90.00
Space group P4/mmm (No. 123)
Unique sites:
Ba: 0.000 0.000 0.000 (multiplicity 1)
Zn: 0.000 0.000 0.500 (multiplicity 1)
Os: 0.000 0.500 0.000 (multiplicity 2)
Cl: 0.500 0.500 0.500 (multiplicity 1)

***

No. 6
## BaPCl4 (PBE-GGA)

Data for crystalline BaPCl4 at its relaxed geometry.

Calculated values
Magnetic moment, μB per formula unit: 5.0
E_form (uncorrected), eV per atom: -0.26

a b c (Å): 8.722 8.722 8.722
angles (deg): 90.00 90.00 90.00
Space group F-43m (No. 216)
Unique sites:
Ba: 0.000 0.000 0.000 (multiplicity 4)
P: 0.250 0.250 0.250 (multiplicity 4)
Cl: 0.125 0.125 0.625 (multiplicity 16)

***

No. 7
## BaPCl2 (PBE-GGA)

Data for crystalline BaPCl2 at its relaxed geometry.

Calculated values
Magnetic moment, μB per formula unit: 0.2
Relative energy among the computed polymorphs, eV/atom: 0.211
E_form (uncorrected), eV per atom: -0.91

a b c (Å): 4.054 4.472 5.915
angles (deg): 90.00 90.00 90.00
Space group Pmmm (No. 47)
Unique sites:
Ba: 0.000 0.000 0.000 (multiplicity 1)
P: 0.500 0.000 0.500 (multiplicity 1)
Cl: 0.000 0.500 0.500 (multiplicity 1)
Cl: 0.500 0.500 0.000 (multiplicity 1)

***

No. 8
## Ba4PCl4 (PBE-GGA)

Data for crystalline Ba4PCl4 at its relaxed geometry.

Calculated values
Magnetic moment, μB per formula unit: 0.0
E_form (uncorrected), eV per atom: -1.98

a b c (Å): 15.254 4.622 11.579
angles (deg): 90.00 121.96 90.00
Space group C2/m (No. 12)
Unique sites:
Ba: 0.087 0.000 0.401 (multiplicity 4)
Ba: 0.205 0.500 0.785 (multiplicity 4)
P: 0.000 0.500 0.500 (multiplicity 2)
Cl: 0.123 0.000 0.890 (multiplicity 4)
Cl: 0.197 0.500 0.305 (multiplicity 4)

***

No. 9
## BaPCl2 (PBE-GGA)

Data for crystalline BaPCl2 at its relaxed geometry.

Calculated values
Magnetic moment, μB per formula unit: 0.2
Relative energy among the computed polymorphs, eV/atom: 0.253
E_form (uncorrected), eV per atom: -0.87

a b c (Å): 5.052 5.052 18.843
angles (deg): 90.00 90.00 90.00
Space group I-42d (No. 122)
Unique sites:
Ba: 0.000 0.000 0.000 (multiplicity 4)
P: 0.000 0.000 0.500 (multiplicity 4)
Cl: 0.200 0.250 0.625 (multiplicity 8)

***

No. 10
## BaPCl2 (PBE-GGA)

Data for crystalline BaPCl2 at its relaxed geometry.

Calculated values
Magnetic moment, μB per formula unit: 1.0
Relative energy among the computed polymorphs, eV/atom: 0.110
E_form (uncorrected), eV per atom: -1.01

a b c (Å): 4.851 4.851 5.996
angles (deg): 90.00 90.00 90.00
Space group P4mm (No. 99)
Unique sites:
Ba: 0.000 0.000 0.000 (multiplicity 1)
P: 0.500 0.500 0.957 (multiplicity 1)
Cl: 0.000 0.000 0.509 (multiplicity 1)
Cl: 0.500 0.500 0.306 (multiplicity 1)

***

No. 11
## BaP4Cl (PBE-GGA)

Data for crystalline BaP4Cl at its relaxed geometry.

Calculated values
Magnetic moment, μB per formula unit: 0.0
E_form (uncorrected), eV per atom: -0.48

a b c (Å): 8.315 8.315 8.315
angles (deg): 90.00 90.00 90.00
Space group F-43m (No. 216)
Unique sites:
Ba: 0.000 0.000 0.000 (multiplicity 4)
P: 0.096 0.096 0.404 (multiplicity 16)
Cl: 0.250 0.250 0.750 (multiplicity 4)

***

No. 12
## BaPCl2 (PBE-GGA)

Data for crystalline BaPCl2 at its relaxed geometry.

Calculated values
Magnetic moment, μB per formula unit: 0.0
Relative energy among the computed polymorphs, eV/atom: 0.133
E_form (uncorrected), eV per atom: -0.99

a b c (Å): 4.469 5.671 8.259
angles (deg): 90.00 90.00 90.00
Space group Immm (No. 71)
Unique sites:
Ba: 0.000 0.000 0.000 (multiplicity 2)
P: 0.000 0.000 0.500 (multiplicity 2)
Cl: 0.000 0.500 0.191 (multiplicity 4)

***

No. 13
## BaPCl2 (PBE-GGA)

Data for crystalline BaPCl2 at its relaxed geometry.

Calculated values
Magnetic moment, μB per formula unit: 0.0
Relative energy among the computed polymorphs, eV/atom: 0.214
E_form (uncorrected), eV per atom: -0.90

a b c (Å): 5.040 4.636 5.052
angles (deg): 90.00 92.55 90.00
Space group P2/m (No. 10)
Unique sites:
Ba: 0.000 0.000 0.000 (multiplicity 1)
P: 0.500 0.000 0.500 (multiplicity 1)
Cl: 0.288 0.500 0.713 (multiplicity 2)

***

No. 14
## BaPCl2 (PBE-GGA)

Data for crystalline BaPCl2 at its relaxed geometry.

Calculated values
Magnetic moment, μB per formula unit: 0.0
Relative energy among the computed polymorphs, eV/atom: 0.063
E_form (uncorrected), eV per atom: -1.06

a b c (Å): 12.486 4.251 4.658
angles (deg): 90.00 99.21 90.00
Space group Cm (No. 8)
Unique sites:
Ba: 0.000 0.000 0.000 (multiplicity 2)
P: 0.226 0.500 0.954 (multiplicity 2)
Cl: 0.208 0.000 0.724 (multiplicity 2)
Cl: 0.458 0.000 0.467 (multiplicity 2)

***

No. 15
## Ba6P3Cl2 (PBE-GGA)

Data for crystalline Ba6P3Cl2 at its relaxed geometry.

Calculated values
Magnetic moment, μB per formula unit: 1.0
E_form (uncorrected), eV per atom: -1.43

a b c (Å): 8.121 14.065 8.124
angles (deg): 90.00 109.48 90.00
Space group C2/m (No. 12)
Unique sites:
Ba: 0.239 0.168 0.222 (multiplicity 8)
Ba: 0.243 0.500 0.221 (multiplicity 4)
P: 0.000 0.000 0.000 (multiplicity 2)
P: 0.000 0.333 0.000 (multiplicity 4)
Cl: 0.000 0.167 0.500 (multiplicity 4)

***

No. 16
## BaPCl2 (PBE-GGA)

Data for crystalline BaPCl2 at its relaxed geometry.

Calculated values
Magnetic moment, μB per formula unit: 3.0
Relative energy among the computed polymorphs, eV/atom: 0.155
E_form (uncorrected), eV per atom: -0.96

a b c (Å): 4.8558 4.8558 25.8036
angles (deg): 90.00 90.00 120.00
Space group R-3m (No. 166, hexagonal axes)
Unique sites:
Ba: 0.0000 0.0000 0.0000 (multiplicity 3)
P: 0.0000 0.0000 0.5000 (multiplicity 3)
Cl: 0.0000 0.0000 0.2806 (multiplicity 6)

***

No. 17
## Ba4P2Cl5 (PBE-GGA)

Data for crystalline Ba4P2Cl5 at its relaxed geometry.

Calculated values
Magnetic moment, μB per formula unit: 0.9
E_form (uncorrected), eV per atom: -1.95

a b c (Å): 21.489 4.653 8.588
angles (deg): 90.00 113.50 90.00
Space group C2/m (No. 12)
Unique sites:
Ba: 0.000 0.000 0.237 (multiplicity 4)
Ba: 0.209 0.500 0.209 (multiplicity 4)
P: 0.053 0.500 0.054 (multiplicity 4)
Cl: 0.000 0.500 0.500 (multiplicity 2)
Cl: 0.174 0.000 0.420 (multiplicity 4)
Cl: 0.174 0.000 0.929 (multiplicity 4)

***

No. 18
## BaPCl2 (PBE-GGA)

Data for crystalline BaPCl2 at its relaxed geometry.

Calculated values
Magnetic moment, μB per formula unit: 0.9
Relative energy among the computed polymorphs, eV/atom: 0.031
E_form (uncorrected), eV per atom: -1.09

a b c (Å): 5.6825 5.6825 11.3693
angles (deg): 90.00 90.00 120.00
Space group R-3m (No. 166, hexagonal axes)
Unique sites:
Ba: 0.0000 0.0000 0.0000 (multiplicity 3)
P: 0.0000 0.0000 0.5000 (multiplicity 3)
Cl: 0.0000 0.0000 0.2873 (multiplicity 6)

***

No. 19
## BaPCl2 (PBE-GGA)

Data for crystalline BaPCl2 at its relaxed geometry.

Calculated values
Magnetic moment, μB per formula unit: 3.0
Relative energy among the computed polymorphs, eV/atom: 0.360
E_form (uncorrected), eV per atom: -0.76

a b c (Å): 7.700 7.700 7.700
angles (deg): 90.00 90.00 90.00
Space group F-43m (No. 216)
Unique sites:
Ba: 0.000 0.000 0.000 (multiplicity 4)
P: 0.250 0.250 0.250 (multiplicity 4)
Cl: 0.000 0.000 0.500 (multiplicity 4)
Cl: 0.250 0.250 0.750 (multiplicity 4)

***

No. 20
## Ba8P5Cl (PBE-GGA)

Data for crystalline Ba8P5Cl at its relaxed geometry.

Calculated values
Magnetic moment, μB per formula unit: 0.0
E_form (uncorrected), eV per atom: -1.19

a b c (Å): 9.891 9.891 9.880
angles (deg): 90.00 90.00 90.00
Space group I-4 (No. 82)
Unique sites:
Ba: 0.062 0.307 0.070 (multiplicity 8)
Ba: 0.073 0.176 0.687 (multiplicity 8)
P: 0.000 0.000 0.000 (multiplicity 2)
P: 0.130 0.244 0.376 (multiplicity 8)
Cl: 0.000 0.500 0.750 (multiplicity 2)

***

No. 21
## Ba4PCl (PBE-GGA)

Data for crystalline Ba4PCl at its relaxed geometry.

Calculated values
Magnetic moment, μB per formula unit: 1.2
E_form (uncorrected), eV per atom: 0.05

a b c (Å): 9.940 9.940 9.940
angles (deg): 90.00 90.00 90.00
Space group F-43m (No. 216)
Unique sites:
Ba: 0.124 0.124 0.376 (multiplicity 16)
P: 0.250 0.250 0.750 (multiplicity 4)
Cl: 0.000 0.000 0.000 (multiplicity 4)

***

No. 22
## BaPCl2 (PBE-GGA)

Data for crystalline BaPCl2 at its relaxed geometry.

Calculated values
Magnetic moment, μB per formula unit: 1.0
Relative energy among the computed polymorphs, eV/atom: 0.000
E_form (uncorrected), eV per atom: -1.12

a b c (Å): 9.863 4.908 4.924
angles (deg): 90.00 96.88 90.00
Space group C2/m (No. 12)
Unique sites:
Ba: 0.000 0.000 0.000 (multiplicity 2)
P: 0.000 0.500 0.500 (multiplicity 2)
Cl: 0.189 0.500 0.225 (multiplicity 4)

***

No. 23
## BaPCl3 (PBE-GGA)

Data for crystalline BaPCl3 at its relaxed geometry.

Calculated values
Magnetic moment, μB per formula unit: 2.0
Relative energy among the computed polymorphs, eV/atom: 0.329
E_form (uncorrected), eV per atom: -0.63

a b c (Å): 6.061 6.061 6.061
angles (deg): 90.00 90.00 90.00
Space group Pm-3m (No. 221)
Unique sites:
Ba: 0.000 0.000 0.000 (multiplicity 1)
P: 0.500 0.500 0.500 (multiplicity 1)
Cl: 0.000 0.000 0.500 (multiplicity 3)

***

No. 24
## BaPCl2 (PBE-GGA)

Data for crystalline BaPCl2 at its relaxed geometry.

Calculated values
Magnetic moment, μB per formula unit: 1.0
Relative energy among the computed polymorphs, eV/atom: 0.017
E_form (uncorrected), eV per atom: -1.10

a b c (Å): 4.546 5.831 5.366
angles (deg): 90.00 106.91 90.00
Space group Pm (No. 6)
Unique sites:
Ba: 0.000 0.000 0.000 (multiplicity 1)
P: 0.669 0.500 0.096 (multiplicity 1)
Cl: 0.341 0.000 0.585 (multiplicity 1)
Cl: 0.826 0.500 0.757 (multiplicity 1)

***

No. 25
## Ba3PCl2 (PBE-GGA)

Data for crystalline Ba3PCl2 at its relaxed geometry.

Calculated values
Magnetic moment, μB per formula unit: 0.0
E_form (uncorrected), eV per atom: -1.73

a b c (Å): 8.004 13.834 7.982
angles (deg): 90.00 109.49 90.00
Space group C2/m (No. 12)
Unique sites:
Ba: 0.230 0.000 0.233 (multiplicity 4)
Ba: 0.248 0.174 0.766 (multiplicity 8)
P: 0.000 0.167 0.000 (multiplicity 4)
Cl: 0.000 0.000 0.500 (multiplicity 2)
Cl: 0.000 0.334 0.500 (multiplicity 4)
Cl: 0.000 0.500 0.000 (multiplicity 2)

***

No. 26
## BaPCl2 (PBE-GGA)

Data for crystalline BaPCl2 at its relaxed geometry.

Calculated values
Magnetic moment, μB per formula unit: 3.0
Relative energy among the computed polymorphs, eV/atom: 0.285
E_form (uncorrected), eV per atom: -0.83

a b c (Å): 5.696 5.708 8.354
angles (deg): 90.00 90.00 90.00
Space group Cmmm (No. 65)
Unique sites:
Ba: 0.000 0.000 0.000 (multiplicity 2)
P: 0.000 0.000 0.500 (multiplicity 2)
Cl: 0.000 0.500 0.193 (multiplicity 4)

***

No. 27
## Ba5PCl5 (PBE-GGA)

Data for crystalline Ba5PCl5 at its relaxed geometry.

Calculated values
Magnetic moment, μB per formula unit: 0.0
E_form (uncorrected), eV per atom: -1.93

a b c (Å): 14.454 6.413 9.091
angles (deg): 90.00 108.38 90.00
Space group C2/m (No. 12)
Unique sites:
Ba: 0.000 0.000 0.000 (multiplicity 2)
Ba: 0.158 0.500 0.322 (multiplicity 4)
Ba: 0.158 0.500 0.836 (multiplicity 4)
P: 0.000 0.500 0.000 (multiplicity 2)
Cl: 0.000 0.500 0.500 (multiplicity 2)
Cl: 0.171 0.000 0.835 (multiplicity 4)
Cl: 0.172 0.000 0.336 (multiplicity 4)